Entry 1:
# Mg4Zn2N GGA-PBE relaxed
# - Raw formation energy: -129 meV/atom
data_Mg4Zn2N
_chemical_formula_sum 'Mg8 Zn4 N2'
_space_group_name_H-M_alt 'I 4/m m m'
_space_group_IT_number 139
_space_group_name_Hall '-I 4 2'
_cell_length_a 4.1944
_cell_length_b 4.1944
_cell_length_c 14.3576
_cell_angle_alpha 90.00
_cell_angle_beta 90.00
_cell_angle_gamma 90.00
loop_
_atom_site_label
_atom_site_type_symbol
_atom_site_fract_x
_atom_site_fract_y
_atom_site_fract_z
Mg1 Mg 0.0000 0.0000 0.1559
Mg2 Mg 0.0000 0.5000 0.0000
Zn1 Zn 0.0000 0.0000 0.3484
N1 N 0.0000 0.0000 0.0000



Entry 2:
# Mn2RuCN GGA-PBE relaxed
# - Raw formation energy: 1053 meV/atom
data_Mn2RuCN
_chemical_formula_sum 'Mn2 Ru1 C1 N1'
_space_group_name_H-M_alt 'P 4/m m m'
_space_group_IT_number 123
_space_group_name_Hall '-P 4 2'
_cell_length_a 3.6080
_cell_length_b 3.6080
_cell_length_c 4.1778
_cell_angle_alpha 90.00
_cell_angle_beta 90.00
_cell_angle_gamma 90.00
loop_
_atom_site_label
_atom_site_type_symbol
_atom_site_fract_x
_atom_site_fract_y
_atom_site_fract_z
Mn1 Mn 0.0000 0.5000 0.0000
Ru1 Ru 0.0000 0.0000 0.5000
C1 C 0.5000 0.5000 0.5000
N1 N 0.5000 0.5000 0.0000



Entry 3:
# Pm3HgP GGA-PBE relaxed
# - Formation energy: -3.97 eV per formula unit
data_Pm3HgP
_chemical_formula_sum 'Pm12 Hg4 P4'
_space_group_name_H-M_alt 'P n m a'
_space_group_IT_number 62
_cell_length_a 9.0962
_cell_length_b 4.0343
_cell_length_c 15.8020
_cell_angle_alpha 90.00
_cell_angle_beta 90.00
_cell_angle_gamma 90.00
loop_
_space_group_symop_operation_xyz
'x,y,z'
'-x,-y,-z'
'-x+1/2,-y,z+1/2'
'x+1/2,y,-z+1/2'
'x+1/2,-y+1/2,-z+1/2'
'-x+1/2,y+1/2,z+1/2'
'-x,y+1/2,-z'
'x,-y+1/2,z'
loop_
_atom_site_label
_atom_site_type_symbol
_atom_site_fract_x
_atom_site_fract_y
_atom_site_fract_z
Pm1 Pm 0.0170 0.2500 0.1061
Pm2 Pm 0.1590 0.2500 0.5335
Pm3 Pm 0.1722 0.7500 0.2984
Hg1 Hg 0.1120 0.7500 0.6905
P1 P 0.1763 0.2500 0.9511



Entry 4:
# PmTmZnCu GGA-PBE relaxed
# - Formation energy: -1.10 eV per formula unit
data_PmTmZnCu
_chemical_formula_sum 'Pm1 Tm1 Zn1 Cu1'
_space_group_name_H-M_alt 'P 4 m m'
_space_group_IT_number 99
_cell_length_a 3.5262
_cell_length_b 3.5262
_cell_length_c 7.1373
_cell_angle_alpha 90.00
_cell_angle_beta 90.00
_cell_angle_gamma 90.00
loop_
_space_group_symop_operation_xyz
'x,y,z'
'-y,x,z'
'-x,-y,z'
'y,-x,z'
'-x,y,z'
'y,x,z'
'x,-y,z'
'-y,-x,z'
loop_
_atom_site_label
_atom_site_type_symbol
_atom_site_fract_x
_atom_site_fract_y
_atom_site_fract_z
Pm1 Pm 0.0000 0.0000 0.0000
Tm1 Tm 0.0000 0.0000 0.4870
Zn1 Zn 0.5000 0.5000 0.7274
Cu1 Cu 0.5000 0.5000 0.2706



Entry 5:
# Pm6HgIr3 GGA-PBE relaxed
# - Formation energy: -4.96 eV per formula unit
data_Pm6HgIr3
_chemical_formula_sum 'Pm24 Hg4 Ir12'
_space_group_name_H-M_alt 'C m c 21'
_space_group_IT_number 36
_cell_length_a 11.0668
_cell_length_b 14.1201
_cell_length_c 7.3941
_cell_angle_alpha 90.00
_cell_angle_beta 90.00
_cell_angle_gamma 90.00
loop_
_space_group_symop_operation_xyz
'x,y,z'
'-x,-y,z+1/2'
'-x,y,z'
'x,-y,z+1/2'
'x+1/2,y+1/2,z'
'-x+1/2,-y+1/2,z+1/2'
'-x+1/2,y+1/2,z'
'x+1/2,-y+1/2,z+1/2'
loop_
_atom_site_label
_atom_site_type_symbol
_atom_site_fract_x
_atom_site_fract_y
_atom_site_fract_z
Pm1 Pm 0.0000 0.0123 0.0000
Pm2 Pm 0.0000 0.2266 0.3294
Pm3 Pm 0.1647 0.4698 0.4102
Pm4 Pm 0.1899 0.2820 0.9773
Hg1 Hg 0.0000 0.1830 0.7301
Ir1 Ir 0.0000 0.4002 0.1269
Ir2 Ir 0.1862 0.1066 0.2095



Entry 6:
# Zr2Bi2Cl GGA-PBE relaxed
# - Raw formation energy: 158 meV/atom
data_Zr2Bi2Cl
_chemical_formula_sum 'Zr4 Bi4 Cl2'
_space_group_name_H-M_alt 'I 4/m m m'
_space_group_IT_number 139
_space_group_name_Hall '-I 4 2'
_cell_length_a 4.6591
_cell_length_b 4.6591
_cell_length_c 13.5595
_cell_angle_alpha 90.00
_cell_angle_beta 90.00
_cell_angle_gamma 90.00
loop_
_atom_site_label
_atom_site_type_symbol
_atom_site_fract_x
_atom_site_fract_y
_atom_site_fract_z
Zr1 Zr 0.0000 0.0000 0.1055
Bi1 Bi 0.0000 0.5000 0.2500
Cl1 Cl 0.0000 0.0000 0.5000



| no. | VASP energy (eV per atom) |
| --- | --- |
| 1 | -2.593 |
| 2 | -7.980 |
| 3 | -4.786 |
| 4 | -3.923 |
| 5 | -6.035 |
| 6 | -5.183 |